Material: Li2Sm2InPd5
Method: DFT, PBE
State: optimized geometry

Cell lengths 3.7551, 9.7061, 9.7061 Å; angles 90.00, 90.00, 90.00 degrees
Positions (direct):
Li 0.0000 0.1195 0.6195
Li 0.0000 0.8805 0.3805
Li 0.0000 0.6195 0.8805
Li 0.0000 0.3805 0.1195
Sm 0.0000 0.6782 0.1782
Sm 0.0000 0.3218 0.8218
Sm 0.0000 0.1782 0.3218
Sm 0.0000 0.8218 0.6782
In 0.0000 0.0000 0.0000
In 0.0000 0.5000 0.5000
Pd 0.5000 0.2105 0.0680
Pd 0.5000 0.7895 0.9320
Pd 0.5000 0.0680 0.7895
Pd 0.5000 0.7105 0.4320
Pd 0.5000 0.9320 0.2105
Pd 0.5000 0.2895 0.5680
Pd 0.5000 0.5680 0.7105
Pd 0.5000 0.4320 0.2895
Pd 0.5000 0.5000 0.0000
Pd 0.5000 0.0000 0.5000

As for the formation energy: -0.659 eV per atom. For the density of states at the Fermi level, the calculation gives 6.54 states/eV/cell. The symmetry is P4/mbm (127).